[1]
DFT (PBE-GGA) results for CePu2Os after structural relaxation.

a b c (Å): 3.4884 3.4884 7.2147
angles (deg): 90.00 90.00 90.00
Closest atoms and distances in Å follow each position.
Fractional coordinates of all 4 atoms:
Ce (0.0000, 0.0000, 0.0000)  8 Pu 3.21, 4 Ce 3.49
Pu (0.5000, 0.5000, 0.2843)  4 Os 2.92, 1 Pu 3.11, 4 Ce 3.21
Pu (0.5000, 0.5000, 0.7157)  4 Os 2.92, 1 Pu 3.11, 4 Ce 3.21
Os (0.0000, 0.0000, 0.5000)  8 Pu 2.92

Output
Symmetry ... P4/mmm, No. 123
Crystal system ... tetragonal


[2]
DFT (PBE-GGA) results for Ce2PuOs after structural relaxation.

a b c (Å): 6.4597 6.4597 6.4597
angles (deg): 40.20 40.20 40.20
Closest atoms and distances in Å follow each position.
Fractional coordinates of all 4 atoms:
Ce (0.0000, 0.0000, 0.0000)  3 Os 2.79, 3 Pu 2.92
Ce (0.1990, 0.1990, 0.1990)  3 Os 2.87
Pu (0.4114, 0.4114, 0.4114)  3 Ce 2.92
Os (0.6046, 0.6046, 0.6046)  6 Ce 2.79-2.87

Output
Symmetry ... R3m, No. 160
Crystal system ... trigonal


[3]
DFT (PBE-GGA) results for CePu2Os after structural relaxation.

a b c (Å): 6.0415 6.0415 8.2450
angles (deg): 90.00 90.00 139.63
Closest atoms and distances in Å follow each position.
Fractional coordinates of all 8 atoms:
Ce (0.0569, 0.9431, 0.7500)  2 Os 2.96
Ce (0.9431, 0.0569, 0.2500)  2 Os 2.96
Pu (0.3617, 0.6383, 0.5639)  3 Os 2.84-2.92, 1 Pu 3.07
Pu (0.3617, 0.6383, 0.9361)  3 Os 2.84-2.92, 1 Pu 3.07
Pu (0.6383, 0.3617, 0.0639)  3 Os 2.84-2.92, 1 Pu 3.07
Pu (0.6383, 0.3617, 0.4361)  3 Os 2.84-2.92, 1 Pu 3.07
Os (0.2579, 0.7421, 0.2500)  6 Pu 2.84-2.92, 2 Ce 2.96
Os (0.7421, 0.2579, 0.7500)  6 Pu 2.84-2.92, 2 Ce 2.96

Output
Symmetry ... Cmcm, No. 63
Crystal system ... orthorhombic


[4]
DFT (PBE-GGA) results for Ce6PuOs after structural relaxation.

a b c (Å): 6.3246 6.3787 6.3821
angles (deg): 119.94 90.01 90.21
Closest atoms and distances in Å follow each position.
Fractional coordinates of all 8 atoms:
Ce (0.2206, 0.1692, 0.1694)  1 Pu 2.54, 1 Os 2.75
Ce (0.2219, 0.4997, 0.8308)  1 Pu 2.54, 1 Os 2.75
Ce (0.2230, 0.8312, 0.4998)  1 Pu 2.54, 1 Os 2.75
Ce (0.7770, 0.1688, 0.5002)  1 Pu 2.54, 1 Os 2.75
Ce (0.7781, 0.5003, 0.1692)  1 Pu 2.54, 1 Os 2.75
Ce (0.7794, 0.8308, 0.8306)  1 Pu 2.54, 1 Os 2.75
Pu (0.0000, 0.5000, 0.5000)  6 Ce 2.54
Os (0.5000, 0.5000, 0.5000)  6 Ce 2.75

Output
Symmetry ... P-1, No. 2
Crystal system ... triclinic


[5]
DFT (PBE-GGA) results for CePu2Os after structural relaxation.

a b c (Å): 13.0250 6.2577 4.5345
angles (deg): 90.00 90.00 90.00
Closest atoms and distances in Å follow each position.
Fractional coordinates of all 16 atoms:
Ce (0.0451, 0.2500, 0.2479)  4 Os 2.93-3.21, 6 Pu 3.25-3.27
Ce (0.4549, 0.7500, 0.7479)  4 Os 2.93-3.21, 6 Pu 3.25-3.27
Ce (0.5451, 0.2500, 0.2521)  4 Os 2.93-3.21, 6 Pu 3.25-3.27
Ce (0.9549, 0.7500, 0.7521)  4 Os 2.93-3.21, 6 Pu 3.25-3.27
Pu (0.1767, 0.5044, 0.7467)  2 Os 2.91-2.92, 4 Pu 2.97-3.18, 2 Ce 3.25-3.26
Pu (0.1767, 0.9956, 0.7467)  2 Os 2.91-2.92, 4 Pu 2.97-3.18, 2 Ce 3.25-3.26
Pu (0.3233, 0.0044, 0.2467)  2 Os 2.91-2.92, 4 Pu 2.97-3.18, 2 Ce 3.25-3.26
Pu (0.3233, 0.4956, 0.2467)  2 Os 2.91-2.92, 4 Pu 2.97-3.18, 2 Ce 3.25-3.26
Pu (0.6767, 0.5044, 0.7533)  2 Os 2.91-2.92, 4 Pu 2.97-3.18, 2 Ce 3.25-3.26
Pu (0.6767, 0.9956, 0.7533)  2 Os 2.91-2.92, 4 Pu 2.97-3.18, 2 Ce 3.25-3.26
Pu (0.8233, 0.0044, 0.2533)  2 Os 2.91-2.92, 4 Pu 2.97-3.18, 2 Ce 3.25-3.26
Pu (0.8233, 0.4956, 0.2533)  2 Os 2.91-2.92, 4 Pu 2.97-3.18, 2 Ce 3.25-3.26
Os (0.0996, 0.7500, 0.2477)  4 Pu 2.91-2.92, 4 Ce 2.93-3.21
Os (0.4004, 0.2500, 0.7477)  4 Pu 2.91-2.92, 4 Ce 2.93-3.21
Os (0.5996, 0.7500, 0.2523)  4 Pu 2.91-2.92, 4 Ce 2.93-3.21
Os (0.9004, 0.2500, 0.7523)  4 Pu 2.91-2.92, 4 Ce 2.93-3.21

Output
Symmetry ... Pnma, No. 62
Crystal system ... orthorhombic


[6]
DFT (PBE-GGA) results for Ce2Pu3Os2 after structural relaxation.

a b c (Å): 5.9519 5.9519 6.3055
angles (deg): 111.76 111.76 46.01
Closest atoms and distances in Å follow each position.
Fractional coordinates of all 7 atoms:
Ce (0.1580, 0.1580, 0.2573)  2 Pu 2.77
Ce (0.8420, 0.8420, 0.7427)  2 Pu 2.77
Pu (0.3951, 0.3951, 0.0045)  1 Pu 2.32
Pu (0.5000, 0.5000, 0.5000)  4 Os 2.82, 2 Pu 2.86
Pu (0.6049, 0.6049, 0.9955)  1 Pu 2.32
Os (0.1314, 0.1314, 0.7330)  5 Pu 2.70-2.94
Os (0.8686, 0.8686, 0.2670)  5 Pu 2.70-2.94

Output
Symmetry ... C2/m, No. 12
Crystal system ... monoclinic


Across the entries above, density of states at the Fermi level takes the values 3.23 1.85 2.70 2.08 3.35 2.17 states/eV per atom, respectively.
Across the entries above, formation energy takes the values 38.4 103.5 -29.8 -7.6 69.9 -11.0 meV per atom, respectively.